1.
Computed, not measured: a relaxed structure of TlTc2Bi at the PBE-GGA level of DFT.

```
TlTc2Bi
1.0
-3.800 3.800 3.079
3.800 -3.800 3.079
3.800 3.800 -3.079
Tl Tc Bi
2 4 2
Direct
0.000 0.000 0.000
0.750 0.250 0.500
0.130 0.125 0.505
0.375 0.870 0.995
0.620 0.625 0.495
0.875 0.380 0.005
0.250 0.750 0.500
0.500 0.500 0.000
```

* energy of formation from the pure elements: 1.18 eV/atom
* excess energy over the best structure of this formula in the dataset: 0.415 eV per atom
* space-group type: I-42d
* N(E_F): 7.209 states/eV/cell



2.
Computed, not measured: a relaxed structure of ZrTlTc2Bi at the PBE-GGA level of DFT.

```
ZrTlTc2Bi
1.0
4.995 0.000 0.000
0.000 4.995 0.000
0.000 0.000 5.552
Zr Tl Tc Bi
1 1 2 1
Direct
0.000 0.000 0.000
0.500 0.500 0.000
0.000 0.500 0.500
0.500 0.000 0.500
0.500 0.500 0.500
```

* energy of formation from the pure elements: 1.84 eV/atom
* space-group type: P4/mmm
* N(E_F): 6.081 states/eV/cell



3.
Computed, not measured: a relaxed structure of Tm5TcBi2 at the PBE-GGA level of DFT.

```
Tm5TcBi2
1.0
2.729 -8.049 0.000
2.729 8.049 0.000
0.000 0.000 13.878
Tm Tc Bi
10 2 4
Direct
0.055 0.945 0.619
0.055 0.945 0.881
0.273 0.727 0.599
0.273 0.727 0.901
0.300 0.700 0.250
0.700 0.300 0.750
0.727 0.273 0.099
0.727 0.273 0.401
0.945 0.055 0.119
0.945 0.055 0.381
0.168 0.832 0.750
0.832 0.168 0.250
0.141 0.859 0.085
0.141 0.859 0.415
0.859 0.141 0.585
0.859 0.141 0.915
```

* energy of formation from the pure elements: -0.05 eV/atom
* space-group type: Cmcm
* N(E_F): 12.176 states/eV/cell



4.
Computed, not measured: a relaxed structure of TmTcBi at the PBE-GGA level of DFT.

```
TmTcBi
1.0
2.085 1.204 10.618
-2.085 1.204 10.618
0.000 -2.408 10.618
Tm Tc Bi
2 2 2
Direct
0.062 0.062 0.062
0.938 0.938 0.938
0.338 0.338 0.338
0.662 0.662 0.662
0.198 0.198 0.198
0.802 0.802 0.802
```

* energy of formation from the pure elements: -0.08 eV/atom
* space-group type: R-3m
* N(E_F): 4.722 states/eV/cell



5.
Computed, not measured: a relaxed structure of Tm4TcBi2 at the PBE-GGA level of DFT.

```
Tm4TcBi2
1.0
7.922 0.000 0.000
0.000 11.977 0.000
0.000 0.000 4.328
Tm Tc Bi
8 2 4
Direct
0.134 0.198 0.000
0.205 0.942 0.500
0.295 0.442 0.500
0.366 0.698 0.000
0.634 0.302 0.000
0.705 0.558 0.500
0.795 0.058 0.500
0.866 0.802 0.000
0.000 0.000 0.000
0.500 0.500 0.000
0.078 0.672 0.500
0.422 0.172 0.500
0.578 0.828 0.500
0.922 0.328 0.500
```

* energy of formation from the pure elements: -0.38 eV/atom
* space-group type: Pbam
* N(E_F): 7.840 states/eV/cell



6.
Computed, not measured: a relaxed structure of Tm4TcBi at the PBE-GGA level of DFT.

```
Tm4TcBi
1.0
8.489 -2.651 0.000
8.489 2.651 0.000
-2.849 0.000 8.960
Tm Tc Bi
8 2 2
Direct
0.008 0.008 0.256
0.200 0.200 0.908
0.232 0.232 0.309
0.399 0.399 0.942
0.601 0.601 0.058
0.768 0.768 0.691
0.800 0.800 0.092
0.992 0.992 0.744
0.088 0.088 0.053
0.912 0.912 0.947
0.151 0.151 0.568
0.849 0.849 0.432
```

* energy of formation from the pure elements: -0.05 eV/atom
* excess energy over the best structure of this formula in the dataset: 0.343 eV per atom
* space-group type: C2/m
* N(E_F): 9.530 states/eV/cell



7.
Computed, not measured: a relaxed structure of Tm7Tc2Bi2 at the PBE-GGA level of DFT.

```
Tm7Tc2Bi2
1.0
-1.900 8.205 4.712
1.900 -8.205 4.712
1.900 8.205 -4.712
Tm Tc Bi
7 2 2
Direct
0.000 0.000 0.000
0.048 0.365 0.684
0.075 0.733 0.342
0.391 0.733 0.658
0.433 0.566 0.867
0.681 0.365 0.316
0.700 0.566 0.133
0.302 0.060 0.242
0.818 0.060 0.758
0.324 0.324 0.000
0.732 0.232 0.500
```

* energy of formation from the pure elements: -0.32 eV/atom
* excess energy over the best structure of this formula in the dataset: 0.000 eV per atom
* space-group type: Imm2
* N(E_F): 8.233 states/eV/cell



8.
Computed, not measured: a relaxed structure of Tm7Tc2Bi2 at the PBE-GGA level of DFT.

```
Tm7Tc2Bi2
1.0
4.373 -5.188 0.000
4.373 5.188 0.000
0.000 0.000 7.180
Tm Tc Bi
7 2 2
Direct
0.000 0.000 0.000
0.000 0.500 0.234
0.000 0.500 0.766
0.500 0.000 0.234
0.500 0.000 0.766
0.500 0.500 0.225
0.500 0.500 0.775
0.283 0.717 0.000
0.717 0.283 0.000
0.208 0.208 0.500
0.792 0.792 0.500
```

* energy of formation from the pure elements: -0.17 eV/atom
* excess energy over the best structure of this formula in the dataset: 0.151 eV per atom
* space-group type: Cmmm
* N(E_F): 7.142 states/eV/cell